Entry 1:
NbZn2Ni8, optimized geometry, DFT PBE; size of the total moment = 0.00 μB/f.u.; offset from the most stable computed form = 0.0 kJ/mol of formula units; VASP energy = -5.38 eV per atom; Fermi-level density of states = 10.5 states/eV/f.u.; energy relative to the elements = -0.025 eV/atom; volume = 12.297 Å³/atom
1.0
3.3078 -6.2249 0.0000
3.3078 6.2249 0.0000
-2.8625 0.0000 3.2846
Nb Zn Ni
1 2 8
Direct
0.0000 0.0000 0.0000
0.3140 0.6860 0.5000
0.6860 0.3140 0.5000
0.1044 0.3648 0.7339
0.1978 0.8022 0.0000
0.3648 0.1044 0.7339
0.4984 0.4984 0.2518
0.5016 0.5016 0.7482
0.6352 0.8956 0.2661
0.8022 0.1978 0.0000
0.8956 0.6352 0.2661

***

Entry 2:
Sb2PdCl, optimized geometry, DFT PBE; size of the total moment = 0.00 μB/f.u.; offset from the most stable computed form = 0.0 kJ/mol of formula units; VASP energy = -3.85 eV per atom; Fermi-level density of states = 3.1 states/eV/f.u.; uncorrected formation energy = -2.8 kJ per mole of atoms; volume = 20.992 Å³/atom
1.0
0.0000 3.4756 3.4756
3.4756 0.0000 3.4756
3.4756 3.4756 0.0000
Sb Pd Cl
2 1 1
Direct
0.2500 0.2500 0.2500
0.7500 0.7500 0.7500
0.0000 0.0000 0.0000
0.5000 0.5000 0.5000

***

Entry 3:
CsRbCdTc2, optimized geometry, DFT PBE; size of the total moment = 8.01 μB/f.u.; VASP energy = -2.45 eV per atom; Fermi-level density of states = 4.8 states/eV/f.u.; energy relative to the elements = 2.240 eV/atom; volume = 50.857 Å³/atom
1.0
6.2446 0.0000 0.0000
0.0000 6.2446 0.0000
0.0000 0.0000 6.5210
Cs Rb Cd Tc
1 1 1 2
Direct
0.0000 0.0000 0.0000
0.5000 0.5000 0.5000
0.5000 0.5000 0.0000
0.0000 0.5000 0.5000
0.5000 0.0000 0.5000

***

Entry 4:
Hf3GeTe8, optimized geometry, DFT PBE; size of the total moment = 0.00 μB/f.u.; VASP energy = -5.53 eV per atom; Fermi-level density of states = 5.5 states/eV/f.u.; uncorrected formation energy = -53.8 kJ per mole of atoms; volume = 32.538 Å³/atom
1.0
8.0077 0.0000 0.0000
-4.0039 6.9349 0.0000
0.0000 0.0000 14.0620
Hf Ge Te
6 2 16
Direct
0.1672 0.3344 0.0000
0.1672 0.8328 0.0000
0.3344 0.1672 0.5000
0.6656 0.8328 0.0000
0.8328 0.1672 0.5000
0.8328 0.6656 0.5000
0.3333 0.6667 0.2240
0.6667 0.3333 0.7240
0.0000 0.0000 0.1258
0.0000 0.0000 0.6258
0.0116 0.5058 0.6204
0.1574 0.3149 0.3754
0.1574 0.8426 0.3754
0.3149 0.1574 0.8754
0.3333 0.6667 0.8745
0.4942 0.5058 0.6204
0.4942 0.9884 0.6204
0.5058 0.0116 0.1204
0.5058 0.4942 0.1204
0.6667 0.3333 0.3745
0.6851 0.8426 0.3754
0.8426 0.1574 0.8754
0.8426 0.6851 0.8754
0.9884 0.4942 0.1204

***

Entry 5:
BaNa3Au2, optimized geometry, DFT PBE; size of the total moment = 0.00 μB/f.u.; VASP energy = -2.44 eV per atom; Fermi-level density of states = 2.6 states/eV/f.u.; energy relative to the elements = -0.365 eV/atom; volume = 29.611 Å³/atom
1.0
8.8189 -2.3910 0.0000
8.8189 2.3910 0.0000
-4.2773 0.0000 8.4260
Ba Na Au
2 6 4
Direct
0.1417 0.1417 0.0559
0.8583 0.8583 0.9441
0.0508 0.0508 0.3829
0.3127 0.3127 0.5407
0.3989 0.3989 0.3002
0.6011 0.6011 0.6998
0.6873 0.6873 0.4593
0.9492 0.9492 0.6171
0.2077 0.2077 0.7279
0.4807 0.4807 0.8394
0.5193 0.5193 0.1606
0.7923 0.7923 0.2721

***

Entry 6:
IrRuAu2, optimized geometry, DFT PBE; size of the total moment = 0.00 μB/f.u.; offset from the most stable computed form = 73.3 kJ/mol of formula units; VASP energy = -5.82 eV per atom; Fermi-level density of states = 4.3 states/eV/f.u.; energy relative to the elements = 0.356 eV/atom; volume = 16.085 Å³/atom
1.0
4.6317 -1.4248 0.0000
4.6317 1.4248 0.0000
-0.8793 0.0000 4.8751
Ir Ru Au
1 1 2
Direct
0.0000 0.0000 0.0000
0.7360 0.7360 0.1852
0.2459 0.2459 0.7091
0.4898 0.4898 0.4766

***

Repeat the fourth record exactly.
Hf3GeTe8, optimized geometry, DFT PBE; size of the total moment = 0.00 μB/f.u.; VASP energy = -5.53 eV per atom; Fermi-level density of states = 5.5 states/eV/f.u.; uncorrected formation energy = -53.8 kJ per mole of atoms; volume = 32.538 Å³/atom
1.0
8.0077 0.0000 0.0000
-4.0039 6.9349 0.0000
0.0000 0.0000 14.0620
Hf Ge Te
6 2 16
Direct
0.1672 0.3344 0.0000
0.1672 0.8328 0.0000
0.3344 0.1672 0.5000
0.6656 0.8328 0.0000
0.8328 0.1672 0.5000
0.8328 0.6656 0.5000
0.3333 0.6667 0.2240
0.6667 0.3333 0.7240
0.0000 0.0000 0.1258
0.0000 0.0000 0.6258
0.0116 0.5058 0.6204
0.1574 0.3149 0.3754
0.1574 0.8426 0.3754
0.3149 0.1574 0.8754
0.3333 0.6667 0.8745
0.4942 0.5058 0.6204
0.4942 0.9884 0.6204
0.5058 0.0116 0.1204
0.5058 0.4942 0.1204
0.6667 0.3333 0.3745
0.6851 0.8426 0.3754
0.8426 0.1574 0.8754
0.8426 0.6851 0.8754
0.9884 0.4942 0.1204

***

Please write out number 5 again, unchanged.
BaNa3Au2, optimized geometry, DFT PBE; size of the total moment = 0.00 μB/f.u.; VASP energy = -2.44 eV per atom; Fermi-level density of states = 2.6 states/eV/f.u.; energy relative to the elements = -0.365 eV/atom; volume = 29.611 Å³/atom
1.0
8.8189 -2.3910 0.0000
8.8189 2.3910 0.0000
-4.2773 0.0000 8.4260
Ba Na Au
2 6 4
Direct
0.1417 0.1417 0.0559
0.8583 0.8583 0.9441
0.0508 0.0508 0.3829
0.3127 0.3127 0.5407
0.3989 0.3989 0.3002
0.6011 0.6011 0.6998
0.6873 0.6873 0.4593
0.9492 0.9492 0.6171
0.2077 0.2077 0.7279
0.4807 0.4807 0.8394
0.5193 0.5193 0.1606
0.7923 0.7923 0.2721

***

- The highest VASP energy belongs to which entry?
  BaNa3Au2